Entry 1:
# PBE YTm8Tl6, relaxed
# DFT formation energy	-0.11	eV/atom
# E	-174.463	eV per cell
# magnetic moment	0.0	μB per formula unit
# Fermi-level density of states	1.15	states/eV/atom
data_YTm8Tl6
_cell_length_a 8.9640
_cell_length_b 8.9640
_cell_length_c 19.5057
_cell_angle_alpha 90.00
_cell_angle_beta 90.00
_cell_angle_gamma 120.00
_space_group_name_H-M_alt 'R -3'
_space_group_IT_number 148
_space_group_name_Hall '-R 3'
loop_
_atom_site_label
_atom_site_type_symbol
_atom_site_fract_x
_atom_site_fract_y
_atom_site_fract_z
Y1 Y 0.0000 0.0000 0.0000
Tm1 Tm 0.0000 0.0000 0.3335
Tm2 Tm 0.9997 0.3326 0.7765
Tl1 Tl 0.9996 0.3345 0.9344

---

Entry 2:
# PBE RbPaSe2S, relaxed
# E	-28.830	eV per cell
# magnetic moment	0.0	μB per formula unit
# raw formation energy	-1.4539	eV/atom
data_RbPaSe2S
_cell_length_a 5.542
_cell_length_b 5.542
_cell_length_c 5.247
_cell_angle_alpha 90.00
_cell_angle_beta 90.00
_cell_angle_gamma 90.00
_space_group_name_H-M_alt 'P 4/m m m'
_space_group_IT_number 123
_space_group_name_Hall '-P 4 2'
loop_
_atom_site_label
_atom_site_type_symbol
_atom_site_fract_x
_atom_site_fract_y
_atom_site_fract_z
Rb1 Rb 0.000 0.000 0.000
Pa1 Pa 0.500 0.500 0.500
Se1 Se 0.000 0.500 0.500
S1 S 0.500 0.500 0.000

---

Entry 3:
# PBE ZrCuPd14, relaxed
# DFT formation energy	-0.22	eV/atom
# E	-88.791	eV per cell
# magnetic moment	0.0	μB per formula unit
# Fermi-level density of states	1.69	states/eV/atom
data_ZrCuPd14
_cell_length_a 5.626
_cell_length_b 5.626
_cell_length_c 7.883
_cell_angle_alpha 90.00
_cell_angle_beta 90.00
_cell_angle_gamma 90.00
_space_group_name_H-M_alt 'P 4/m m m'
_space_group_IT_number 123
_space_group_name_Hall '-P 4 2'
loop_
_atom_site_label
_atom_site_type_symbol
_atom_site_fract_x
_atom_site_fract_y
_atom_site_fract_z
Zr1 Zr 0.000 0.000 0.000
Cu1 Cu 0.500 0.500 0.000
Pd1 Pd 0.000 0.000 0.500
Pd2 Pd 0.000 0.500 0.000
Pd3 Pd 0.000 0.500 0.500
Pd4 Pd 0.251 0.251 0.247
Pd5 Pd 0.500 0.500 0.500